[1]
# Nd5DyHoEr2 | the Alexandria database | PBE | optimized geometry
# space-group type	Cmc2_1
# electronic total energy	-81.7	eV/cell
# formation energy from the elements	145	meV per atom
data_Nd5DyHoEr2
_chemical_formula_sum 'Nd10 Dy2 Ho2 Er4'
_cell_length_a 10.572
_cell_length_b 10.572
_cell_length_c 10.704
_cell_angle_alpha 90.00
_cell_angle_beta 90.00
_cell_angle_gamma 149.05
_space_group_name_H-M_alt 'P 1'
_space_group_IT_number 1
_space_group_name_Hall 'P 1'
loop_
_atom_site_label
_atom_site_type_symbol
_atom_site_fract_x
_atom_site_fract_y
_atom_site_fract_z
_atom_site_occupancy
Nd1 Nd 0.016 0.984 0.500 1
Nd2 Nd 0.280 0.720 0.796 1
Nd3 Nd 0.298 0.702 0.190 1
Nd4 Nd 0.385 0.615 0.504 1
Nd5 Nd 0.483 0.517 0.226 1
Nd6 Nd 0.517 0.483 0.726 1
Nd7 Nd 0.615 0.385 0.004 1
Nd8 Nd 0.702 0.298 0.690 1
Nd9 Nd 0.720 0.280 0.296 1
Nd10 Nd 0.984 0.016 0.000 1
Dy1 Dy 0.198 0.802 0.494 1
Dy2 Dy 0.802 0.198 0.994 1
Ho1 Ho 0.408 0.592 0.945 1
Ho2 Ho 0.592 0.408 0.445 1
Er1 Er 0.112 0.888 0.222 1
Er2 Er 0.114 0.886 0.792 1
Er3 Er 0.886 0.114 0.292 1
Er4 Er 0.888 0.112 0.722 1

***

[2]
# NdDy3Ho6Er2 | the Alexandria database | PBE | optimized geometry
# space-group type	C2/m
# electronic total energy	-54.9	eV/cell
# formation energy from the elements	18	meV per atom
data_NdDy3Ho6Er2
_chemical_formula_sum 'Nd1 Dy3 Ho6 Er2'
_cell_length_a 6.122
_cell_length_b 6.122
_cell_length_c 11.725
_cell_angle_alpha 94.97
_cell_angle_beta 94.97
_cell_angle_gamma 119.95
_space_group_name_H-M_alt 'P 1'
_space_group_IT_number 1
_space_group_name_Hall 'P 1'
loop_
_atom_site_label
_atom_site_type_symbol
_atom_site_fract_x
_atom_site_fract_y
_atom_site_fract_z
_atom_site_occupancy
Nd1 Nd 0.000 0.000 0.000 1
Dy1 Dy 0.167 0.833 0.500 1
Dy2 Dy 0.500 0.500 0.500 1
Dy3 Dy 0.833 0.167 0.500 1
Ho1 Ho 0.084 0.418 0.251 1
Ho2 Ho 0.250 0.250 0.749 1
Ho3 Ho 0.418 0.084 0.251 1
Ho4 Ho 0.582 0.916 0.749 1
Ho5 Ho 0.750 0.750 0.251 1
Ho6 Ho 0.916 0.582 0.749 1
Er1 Er 0.333 0.667 0.000 1
Er2 Er 0.667 0.333 0.000 1

***

[3]
# NdDy4Ho2Er | the Alexandria database | PBE | optimized geometry
# space-group type	C2/c
# electronic total energy	-66.8	eV/cell
# formation energy from the elements	437	meV per atom
data_NdDy4Ho2Er
_chemical_formula_sum 'Nd2 Dy8 Ho4 Er2'
_cell_length_a 9.475
_cell_length_b 9.475
_cell_length_c 6.778
_cell_angle_alpha 110.96
_cell_angle_beta 110.96
_cell_angle_gamma 88.65
_space_group_name_H-M_alt 'P 1'
_space_group_IT_number 1
_space_group_name_Hall 'P 1'
loop_
_atom_site_label
_atom_site_type_symbol
_atom_site_fract_x
_atom_site_fract_y
_atom_site_fract_z
_atom_site_occupancy
Nd1 Nd 0.000 0.500 0.000 1
Nd2 Nd 0.500 0.000 0.500 1
Dy1 Dy 0.248 0.251 0.498 1
Dy2 Dy 0.249 0.750 0.501 1
Dy3 Dy 0.250 0.751 0.999 1
Dy4 Dy 0.251 0.248 0.998 1
Dy5 Dy 0.749 0.752 0.002 1
Dy6 Dy 0.750 0.249 0.001 1
Dy7 Dy 0.751 0.250 0.499 1
Dy8 Dy 0.752 0.749 0.502 1
Ho1 Ho 0.000 0.500 0.500 1
Ho2 Ho 0.500 0.000 0.000 1
Ho3 Ho 0.500 0.500 0.000 1
Ho4 Ho 0.500 0.500 0.500 1
Er1 Er 0.000 0.000 0.000 1
Er2 Er 0.000 0.000 0.500 1

***

[4]
# Nd2Dy5HoEr | the Alexandria database | PBE | optimized geometry
# space-group type	I4/mcm
# electronic total energy	-78.4	eV/cell
# formation energy from the elements	276	meV per atom
data_Nd2Dy5HoEr
_chemical_formula_sum 'Nd4 Dy10 Ho2 Er2'
_cell_length_a 9.979
_cell_length_b 9.979
_cell_length_c 9.979
_cell_angle_alpha 129.11
_cell_angle_beta 129.11
_cell_angle_gamma 74.83
_space_group_name_H-M_alt 'P 1'
_space_group_IT_number 1
_space_group_name_Hall 'P 1'
loop_
_atom_site_label
_atom_site_type_symbol
_atom_site_fract_x
_atom_site_fract_y
_atom_site_fract_z
_atom_site_occupancy
Nd1 Nd 0.119 0.619 0.737 1
Nd2 Nd 0.381 0.119 0.500 1
Nd3 Nd 0.619 0.881 0.500 1
Nd4 Nd 0.881 0.381 0.263 1
Dy1 Dy 0.000 0.000 0.000 1
Dy2 Dy 0.073 0.145 0.500 1
Dy3 Dy 0.145 0.645 0.072 1
Dy4 Dy 0.355 0.427 0.500 1
Dy5 Dy 0.427 0.927 0.072 1
Dy6 Dy 0.500 0.500 0.000 1
Dy7 Dy 0.573 0.073 0.928 1
Dy8 Dy 0.645 0.573 0.500 1
Dy9 Dy 0.855 0.355 0.928 1
Dy10 Dy 0.927 0.855 0.500 1
Ho1 Ho 0.250 0.250 0.000 1
Ho2 Ho 0.750 0.750 0.000 1
Er1 Er 0.250 0.750 0.500 1
Er2 Er 0.750 0.250 0.500 1

***

[5]
# NdDy2Ho2Er2 | the Alexandria database | PBE | optimized geometry
# space-group type	C2/m
# electronic total energy	-64.2	eV/cell
# formation energy from the elements	20	meV per atom
data_NdDy2Ho2Er2
_chemical_formula_sum 'Nd2 Dy4 Ho4 Er4'
_cell_length_a 11.193
_cell_length_b 5.016
_cell_length_c 7.931
_cell_angle_alpha 90.00
_cell_angle_beta 98.16
_cell_angle_gamma 90.00
_space_group_name_H-M_alt 'P 1'
_space_group_IT_number 1
_space_group_name_Hall 'P 1'
loop_
_atom_site_label
_atom_site_type_symbol
_atom_site_fract_x
_atom_site_fract_y
_atom_site_fract_z
_atom_site_occupancy
Nd1 Nd 0.000 0.000 0.000 1
Nd2 Nd 0.500 0.500 0.000 1
Dy1 Dy 0.143 0.000 0.430 1
Dy2 Dy 0.357 0.500 0.570 1
Dy3 Dy 0.643 0.500 0.430 1
Dy4 Dy 0.857 0.000 0.570 1
Ho1 Ho 0.072 0.500 0.713 1
Ho2 Ho 0.428 0.000 0.287 1
Ho3 Ho 0.572 0.000 0.713 1
Ho4 Ho 0.928 0.500 0.287 1
Er1 Er 0.214 0.500 0.144 1
Er2 Er 0.286 0.000 0.856 1
Er3 Er 0.714 0.000 0.144 1
Er4 Er 0.786 0.500 0.856 1

***

[6]
# NdDy6HoEr2 | the Alexandria database | PBE | optimized geometry
# space-group type	C2/c
# electronic total energy	-89.7	eV/cell
# formation energy from the elements	121	meV per atom
data_NdDy6HoEr2
_chemical_formula_sum 'Nd2 Dy12 Ho2 Er4'
_cell_length_a 8.761
_cell_length_b 8.761
_cell_length_c 9.489
_cell_angle_alpha 93.49
_cell_angle_beta 93.49
_cell_angle_gamma 117.54
_space_group_name_H-M_alt 'P 1'
_space_group_IT_number 1
_space_group_name_Hall 'P 1'
loop_
_atom_site_label
_atom_site_type_symbol
_atom_site_fract_x
_atom_site_fract_y
_atom_site_fract_z
_atom_site_occupancy
Nd1 Nd 0.027 0.973 0.750 1
Nd2 Nd 0.973 0.027 0.250 1
Dy1 Dy 0.016 0.564 0.683 1
Dy2 Dy 0.122 0.752 0.057 1
Dy3 Dy 0.248 0.878 0.443 1
Dy4 Dy 0.292 0.510 0.882 1
Dy5 Dy 0.436 0.984 0.817 1
Dy6 Dy 0.490 0.708 0.618 1
Dy7 Dy 0.510 0.292 0.382 1
Dy8 Dy 0.564 0.016 0.183 1
Dy9 Dy 0.708 0.490 0.118 1
Dy10 Dy 0.752 0.122 0.557 1
Dy11 Dy 0.878 0.248 0.943 1
Dy12 Dy 0.984 0.436 0.317 1
Ho1 Ho 0.410 0.590 0.250 1
Ho2 Ho 0.590 0.410 0.750 1
Er1 Er 0.200 0.304 0.547 1
Er2 Er 0.304 0.200 0.047 1
Er3 Er 0.696 0.800 0.953 1
Er4 Er 0.800 0.696 0.453 1

***

[7]
# NdDyHo2Er2 | the Alexandria database | PBE | optimized geometry
# space-group type	Pnnm
# electronic total energy	-51.9	eV/cell
# formation energy from the elements	282	meV per atom
data_NdDyHo2Er2
_chemical_formula_sum 'Nd2 Dy2 Ho4 Er4'
_cell_length_a 6.515
_cell_length_b 17.713
_cell_length_c 3.386
_cell_angle_alpha 90.00
_cell_angle_beta 90.00
_cell_angle_gamma 90.00
_space_group_name_H-M_alt 'P 1'
_space_group_IT_number 1
_space_group_name_Hall 'P 1'
loop_
_atom_site_label
_atom_site_type_symbol
_atom_site_fract_x
_atom_site_fract_y
_atom_site_fract_z
_atom_site_occupancy
Nd1 Nd 0.000 0.000 0.000 1
Nd2 Nd 0.500 0.500 0.500 1
Dy1 Dy 0.000 0.500 0.000 1
Dy2 Dy 0.500 0.000 0.500 1
Ho1 Ho 0.223 0.186 0.000 1
Ho2 Ho 0.277 0.686 0.500 1
Ho3 Ho 0.723 0.314 0.500 1
Ho4 Ho 0.777 0.814 0.000 1
Er1 Er 0.220 0.352 0.500 1
Er2 Er 0.280 0.852 0.000 1
Er3 Er 0.720 0.148 0.000 1
Er4 Er 0.780 0.648 0.500 1

***

[8]
# NdDyHo2Er6 | the Alexandria database | PBE | optimized geometry
# space-group type	C2/c
# electronic total energy	-89.4	eV/cell
# formation energy from the elements	123	meV per atom
data_NdDyHo2Er6
_chemical_formula_sum 'Nd2 Dy2 Ho4 Er12'
_cell_length_a 8.730
_cell_length_b 8.730
_cell_length_c 9.451
_cell_angle_alpha 93.52
_cell_angle_beta 93.52
_cell_angle_gamma 117.70
_space_group_name_H-M_alt 'P 1'
_space_group_IT_number 1
_space_group_name_Hall 'P 1'
loop_
_atom_site_label
_atom_site_type_symbol
_atom_site_fract_x
_atom_site_fract_y
_atom_site_fract_z
_atom_site_occupancy
Nd1 Nd 0.026 0.974 0.750 1
Nd2 Nd 0.974 0.026 0.250 1
Dy1 Dy 0.410 0.590 0.250 1
Dy2 Dy 0.590 0.410 0.750 1
Ho1 Ho 0.198 0.304 0.547 1
Ho2 Ho 0.304 0.198 0.047 1
Ho3 Ho 0.696 0.802 0.953 1
Ho4 Ho 0.802 0.696 0.453 1
Er1 Er 0.019 0.566 0.682 1
Er2 Er 0.124 0.750 0.058 1
Er3 Er 0.250 0.876 0.442 1
Er4 Er 0.291 0.510 0.882 1
Er5 Er 0.434 0.981 0.818 1
Er6 Er 0.490 0.709 0.618 1
Er7 Er 0.510 0.291 0.382 1
Er8 Er 0.566 0.019 0.182 1
Er9 Er 0.709 0.490 0.118 1
Er10 Er 0.750 0.124 0.558 1
Er11 Er 0.876 0.250 0.942 1
Er12 Er 0.981 0.434 0.318 1

***

[9]
# NdDyHoEr3 | the Alexandria database | PBE | optimized geometry
# space-group type	P2_1/m
# electronic total energy	-55.0	eV/cell
# formation energy from the elements	21	meV per atom
data_NdDyHoEr3
_chemical_formula_sum 'Nd2 Dy2 Ho2 Er6'
_cell_length_a 10.598
_cell_length_b 3.539
_cell_length_c 10.658
_cell_angle_alpha 90.00
_cell_angle_beta 109.39
_cell_angle_gamma 90.00
_space_group_name_H-M_alt 'P 1'
_space_group_IT_number 1
_space_group_name_Hall 'P 1'
loop_
_atom_site_label
_atom_site_type_symbol
_atom_site_fract_x
_atom_site_fract_y
_atom_site_fract_z
_atom_site_occupancy
Nd1 Nd 0.208 0.250 0.374 1
Nd2 Nd 0.792 0.750 0.626 1
Dy1 Dy 0.376 0.250 0.876 1
Dy2 Dy 0.624 0.750 0.124 1
Ho1 Ho 0.126 0.750 0.627 1
Ho2 Ho 0.874 0.250 0.373 1
Er1 Er 0.043 0.250 0.877 1
Er2 Er 0.293 0.750 0.123 1
Er3 Er 0.459 0.750 0.626 1
Er4 Er 0.541 0.250 0.374 1
Er5 Er 0.707 0.250 0.877 1
Er6 Er 0.957 0.750 0.123 1